BeIrPb4 | PBE | optimized geometry

Cell: 8.757 8.757 8.757 Å, 90.00 90.00 90.00°
Space group F-43m (No. 216)
Symmetry-distinct sites (fractional):
Be: 0.000 0.000 0.000 [4 per cell]
Ir: 0.250 0.250 0.750 [4 per cell]
Pb: 0.124 0.124 0.376 [16 per cell]

energy of formation from the pure elements: 1192 meV/atom
magnetization: 0.00 μB/cell
calculated volume: 27.98 Å³/atom
N(E_F): 17.46 states/eV per cell